# PBE-GGA CuC3O, optimized geometry
data_CuC3O
_cell_length_a 3.586
_cell_length_b 3.586
_cell_length_c 3.586
_cell_angle_alpha 90.00
_cell_angle_beta 90.00
_cell_angle_gamma 90.00
_symmetry_space_group_name_H-M 'P m -3 m'
_symmetry_Int_Tables_number 221
_symmetry_space_group_name_Hall '-P 4 2 3'
loop_
_atom_site_label
_atom_site_fract_x
_atom_site_fract_y
_atom_site_fract_z
Cu1 0.000 0.000 0.000
C1 0.000 0.500 0.500
O1 0.500 0.500 0.500
# E_tot = -4.2483 eV per atom
# formation energy from raw total energies = 3.097 eV per atom